Compound: Pr12Ag2Hg5
Source: Alexandria
Functional: GGA-PBE
Structure: relaxed

Unit cell a=8.456 b=8.456 c=8.479 alpha=99.57 beta=99.57 gamma=78.91
Fractional positions:
Pr  0.005  0.663  0.182
Pr  0.099  0.099  0.157
Pr  0.170  0.615  0.607
Pr  0.337  0.995  0.818
Pr  0.385  0.830  0.393
Pr  0.391  0.391  0.258
Pr  0.609  0.609  0.742
Pr  0.615  0.170  0.607
Pr  0.663  0.005  0.182
Pr  0.830  0.385  0.393
Pr  0.901  0.901  0.843
Pr  0.995  0.337  0.818
Ag  0.274  0.726  0.000
Ag  0.726  0.274  0.000
Hg  0.000  0.000  0.500
Hg  0.232  0.232  0.514
Hg  0.376  0.376  0.876
Hg  0.624  0.624  0.124
Hg  0.768  0.768  0.486

Calculated values
N(E_F) = 22.789 states/eV per cell
magnetic moment = 0.000 μB/f.u.
calculated formation energy = -3.99 eV/f.u.
space-group type = C2/m (12)
uncorrected energy = -3.61 eV/atom

Compound: Pr4Ag2Hg
Source: Alexandria
Functional: GGA-PBE
Structure: relaxed

Unit cell a=6.533 b=6.533 c=6.533 alpha=109.08 beta=109.08 gamma=110.26
Fractional positions:
Pr  0.000  0.000  0.500
Pr  0.000  0.500  0.000
Pr  0.500  0.000  0.000
Pr  0.500  0.500  0.500
Ag  0.000  0.500  0.500
Ag  0.500  0.000  0.500
Hg  0.000  0.000  0.000

Calculated values
N(E_F) = 10.051 states/eV per cell
magnetic moment = 1.449 μB/f.u.
calculated formation energy = -1.18 eV/f.u.
space-group type = I4/mmm (139)
uncorrected energy = -3.76 eV/atom

Compound: PrAgHg
Source: Alexandria
Functional: GGA-PBE
Structure: relaxed

Unit cell a=4.972 b=4.972 c=3.501 alpha=90.00 beta=90.00 gamma=120.00
Fractional positions:
Pr  0.000  0.000  0.000
Ag  0.667  0.333  0.500
Hg  0.333  0.667  0.500

Calculated values
N(E_F) = 2.033 states/eV per cell
magnetic moment = 0.076 μB/f.u.
calculated formation energy = -1.13 eV/f.u.
space-group type = P-6m2 (187)
uncorrected energy = -3.02 eV/atom

Repeat the first record exactly.
Compound: Pr12Ag2Hg5
Source: Alexandria
Functional: GGA-PBE
Structure: relaxed

Unit cell a=8.456 b=8.456 c=8.479 alpha=99.57 beta=99.57 gamma=78.91
Fractional positions:
Pr  0.005  0.663  0.182
Pr  0.099  0.099  0.157
Pr  0.170  0.615  0.607
Pr  0.337  0.995  0.818
Pr  0.385  0.830  0.393
Pr  0.391  0.391  0.258
Pr  0.609  0.609  0.742
Pr  0.615  0.170  0.607
Pr  0.663  0.005  0.182
Pr  0.830  0.385  0.393
Pr  0.901  0.901  0.843
Pr  0.995  0.337  0.818
Ag  0.274  0.726  0.000
Ag  0.726  0.274  0.000
Hg  0.000  0.000  0.500
Hg  0.232  0.232  0.514
Hg  0.376  0.376  0.876
Hg  0.624  0.624  0.124
Hg  0.768  0.768  0.486

Calculated values
N(E_F) = 22.789 states/eV per cell
magnetic moment = 0.000 μB/f.u.
calculated formation energy = -3.99 eV/f.u.
space-group type = C2/m (12)
uncorrected energy = -3.61 eV/atom